A plane-wave DFT calculation with PBE was carried out for a geometry-optimized Tl9CdIn4 structure.

Mass density   9.426 g/cm3
Calculated formation energy   34 meV/atom
Total energy   -65.39 eV for the cell shown

a b c (Å): 9.784 10.013 10.013
angles (deg): 120.00 90.00 90.00
Positions (direct):
In  0.250  0.113  0.226
In  0.250  0.774  0.887
In  0.000  0.000  0.000
In  0.750  0.226  0.113
In  0.750  0.887  0.774
In  0.500  0.000  0.000
In  0.750  0.887  0.113
In  0.250  0.113  0.887
Tl  0.460  0.404  0.202
Tl  0.540  0.202  0.798
Tl  0.460  0.798  0.202
Tl  0.040  0.404  0.202
Tl  0.750  0.532  0.065
Tl  0.540  0.202  0.404
Tl  0.250  0.065  0.532
Tl  0.040  0.798  0.202
Tl  0.960  0.202  0.798
Tl  0.460  0.798  0.596
Tl  0.540  0.596  0.798
Tl  0.750  0.532  0.468
Tl  0.250  0.468  0.532
Tl  0.250  0.468  0.935
Tl  0.040  0.798  0.596
Tl  0.960  0.596  0.798
Tl  0.750  0.935  0.468
Tl  0.960  0.202  0.404
Cd  0.250  0.667  0.333
Cd  0.750  0.333  0.667